The following is a PBE+U calculation of an optimized crystal structure of NiN2ClF, from the Alexandria database.

Results
- DOS at the Fermi energy (states/eV per atom) = 0.844
- E above lowest polymorph (meV/atom) = 596
- M_tot (μB per cell) = 1.88
- crystal system = tetragonal
- space-group type = P4/mmm, No. 123
- energy (eV/atom) = -2.797

a b c (Å): 3.4298 3.4298 5.4746
angles (deg): 90.00 90.00 90.00
Last column: nearest neighbours and their distance in Å.
Fractional positions:
1 Ni 0.5000 0.5000 0.5000  4 F 2.43
2 N 0.0000 0.5000 0.0000  2 Cl 1.71
3 N 0.5000 0.0000 0.0000  2 Cl 1.71
4 F 0.0000 0.0000 0.5000  4 Ni 2.43
5 Cl 0.0000 0.0000 0.0000  4 N 1.71

---

The following is a PBE+U calculation of an optimized crystal structure of NiN2ClF, from the Alexandria database.

Results
- DOS at the Fermi energy (states/eV per atom) = 0.489
- E above lowest polymorph (meV/atom) = 0
- M_tot (μB per cell) = 4.00
- crystal system = tetragonal
- space-group type = P4/mmm, No. 123
- energy (eV/atom) = -3.393

a b c (Å): 3.9560 3.9560 3.8603
angles (deg): 90.00 90.00 90.00
Last column: nearest neighbours and their distance in Å.
Fractional positions:
1 Ni 0.0000 0.0000 0.0000  2 F 1.93, 4 N 1.98
2 N 0.0000 0.5000 0.0000  2 Ni 1.98
3 N 0.5000 0.0000 0.0000  2 Ni 1.98
4 F 0.0000 0.0000 0.5000  2 Ni 1.93
5 Cl 0.5000 0.5000 0.5000  8 N 2.76, 4 F 2.80

---

What is the formula in the second record? NiN2ClF